No. 1
Density functional theory data (GGA-PBEsol) for Cs3PtW after structural relaxation.

The structure in POSCAR format:
```
Cs3PtW
1.0
-2.2631 -5.2262 -2.8712
5.1581 -0.1749 -3.7473
2.9918 -3.6517 4.2886
Cs W Pt
3 1 1
direct
0.0000 0.0000 0.5000
0.0000 0.5000 0.0000
0.5000 0.0000 0.0000
0.5000 0.5000 0.5000
0.0000 0.0000 0.0000
```

Calculated values
**Density**: 5.0 g/cm3
**Total energy**: -3.24 eV per atom
**Calculated volume**: 51.889 Å³ per atom
**Fermi-level density of states**: 0.47 states/eV/cell


No. 2
Density functional theory data (GGA-PBEsol) for CrCuHg2 after structural relaxation.

The structure in POSCAR format:
```
CrCuHg2
1.0
-2.1218 -0.9671 -2.1322
2.3230 -0.5109 -2.0799
0.6175 -6.2716 2.2302
Cu Hg Cr
1 2 1
direct
0.5000 0.5000 0.5000
0.0000 0.0000 0.2623
0.0000 0.0000 0.7377
0.5000 0.5000 0.0000
```

Calculated values
**Density**: 12.9 g/cm3
**Polymorph energy (0 for the lowest one)**: 0.0 kJ per mole of atoms
**Total energy**: -3.60 eV per atom
**Calculated volume**: 16.685 Å³ per atom
**Fermi-level density of states**: 2.02 states/eV/cell


No. 3
Density functional theory data (GGA-PBEsol) for ReTe2IN after structural relaxation.

The structure in POSCAR format:
```
ReTe2IN
1.0
4.6756 0.0000 0.0000
0.0000 4.5362 0.0000
0.0000 0.0000 4.5362
Te N I Re
2 1 1 1
direct
0.0000 0.0000 0.5000
0.0000 0.5000 0.0000
0.0000 0.0000 0.0000
0.5000 0.0000 0.0000
0.5000 0.5000 0.5000
```

Calculated values
**Density**: 10.1 g/cm3
**Total energy**: -4.64 eV per atom
**Calculated volume**: 19.242 Å³ per atom
**Formation energy (no corrections)**: 1491 meV per atom
**Fermi-level density of states**: 3.61 states/eV/cell